{"formula": "Sm3Sb2C", "functional": "PBE-GGA", "state": "relaxed", "lattice": [[4.342, 0.000, 0.000], [0.000, 4.809, 0.000], [0.000, 0.000, 16.528]], "species": ["Sm", "Sm", "Sm", "Sm", "Sm", "Sm", "Sb", "Sb", "Sb", "Sb", "C", "C"], "frac_coords": [[0.000, 0.000, 0.000], [0.000, 0.500, 0.154], [0.000, 0.500, 0.846], [0.500, 0.000, 0.346], [0.500, 0.000, 0.654], [0.500, 0.500, 0.500], [0.000, 0.500, 0.351], [0.000, 0.500, 0.649], [0.500, 0.000, 0.149], [0.500, 0.000, 0.851], [0.000, 0.500, 0.000], [0.500, 0.000, 0.500]], "raw_formation_energy_ev_per_atom": -0.51, "mass_density_g_cm3": 6.80}